Arrangement A

Crystalline Nd2CuBr at its relaxed geometry, computed with PBE.

Geometry as POSCAR:
```
Nd2CuBr
1.0
-1.760 1.797 3.226
1.183 -0.988 3.789
5.154 5.878 2.131
Nd Cu Br
2 1 1
direct
0.071 0.071 0.788 Nd
0.263 0.263 0.211 Nd
0.667 0.667 0.998 Cu
0.499 0.499 0.503 Br
```

Values from the calculation:
The calculation puts the total magnetization at 0.0 μB/cell. The calculation puts the volume at 28.086 A^3/atom.


Arrangement B

Crystalline Nd2CuBr at its relaxed geometry, computed with PBE.

Geometry as POSCAR:
```
Nd2CuBr
1.0
-2.390 1.640 3.000
1.067 -0.467 4.005
3.462 6.647 2.024
Nd Cu Br
2 1 1
direct
0.261 0.261 0.218 Nd
0.739 0.739 0.782 Nd
0.000 0.000 0.000 Cu
0.500 0.500 0.500 Br
```

Values from the calculation:
The calculation puts the total magnetization at 0.0 μB/cell. The calculation puts the volume at 27.797 A^3/atom.


How far above the most stable structure does each one sit? In eV/atom: arrangement A 0.021; arrangement B 0.000.


Arrangement A

Crystalline Cu2NiBr at its relaxed geometry, computed with PBE.

Geometry as POSCAR:
```
Cu2NiBr
1.0
-0.439 -2.070 -4.256
-1.497 -4.489 0.446
-1.590 4.118 1.761
Br Cu Ni
1 2 1
direct
0.750 0.250 0.500 Br
0.000 0.000 0.000 Cu
0.250 0.750 0.500 Cu
0.500 0.500 0.000 Ni
```

Values from the calculation:
The calculation puts the total magnetization at 0.0 μB/cell. The calculation puts the volume at 14.228 A^3/atom.


Arrangement B

Crystalline Cu2NiBr at its relaxed geometry, computed with PBE.

Geometry as POSCAR:
```
Cu2NiBr
1.0
4.227 0.070 -0.036
3.113 2.861 -0.036
1.138 0.454 5.963
Br Cu Ni
1 2 1
direct
0.127 0.127 0.274 Br
0.049 0.049 0.903 Cu
0.793 0.793 0.742 Cu
0.531 0.531 0.581 Ni
```

Values from the calculation:
The calculation puts the total magnetization at 0.0 μB/cell. The calculation puts the volume at 17.737 A^3/atom.


How far above the most stable structure does each one sit? In eV/atom: arrangement A 0.246; arrangement B 0.000.